A plane-wave DFT calculation with GGA-PBE was carried out for crystalline LaPr3SmEr at its relaxed geometry.

Lattice parameters (Å, degrees): 5.220 8.182 11.002 116.32 90.00 90.00
Fractional coordinates of all 12 atoms:
La 0.750 0.879 0.709
La 0.250 0.121 0.291
Pr 0.250 0.626 0.456
Pr 0.750 0.869 0.041
Pr 0.750 0.378 0.206
Pr 0.750 0.374 0.544
Pr 0.250 0.622 0.794
Pr 0.250 0.131 0.959
Sm 0.250 0.127 0.627
Sm 0.750 0.873 0.373
Er 0.250 0.621 0.123
Er 0.750 0.379 0.877

Output
Magnetization = 0.001 μB/f.u.
Formation enthalpy at 0 K = 0.02 eV/atom
D(E_F) = 19.63 states/eV per cell

A plane-wave DFT calculation with GGA-PBE was carried out for crystalline LaPrSm3Er at its relaxed geometry.

Lattice parameters (Å, degrees): 5.168 8.137 10.924 116.60 90.00 90.00
Fractional coordinates of all 12 atoms:
La 0.750 0.876 0.711
La 0.250 0.124 0.289
Pr 0.250 0.129 0.628
Pr 0.750 0.871 0.372
Sm 0.250 0.623 0.456
Sm 0.750 0.869 0.040
Sm 0.750 0.376 0.206
Sm 0.750 0.377 0.544
Sm 0.250 0.624 0.794
Sm 0.250 0.131 0.960
Er 0.250 0.619 0.122
Er 0.750 0.381 0.878

Output
Magnetization = 0.000 μB/f.u.
Formation enthalpy at 0 K = 0.02 eV/atom
D(E_F) = 18.03 states/eV per cell

A plane-wave DFT calculation with GGA-PBE was carried out for crystalline LaPr2Sm2Er at its relaxed geometry.

Lattice parameters (Å, degrees): 5.793 7.140 10.026 90.00 90.00 90.00
Fractional coordinates of all 12 atoms:
La 0.000 0.008 0.500
La 0.000 0.508 0.500
Pr 0.500 0.008 0.000
Pr 0.000 0.258 0.170
Pr 0.500 0.508 0.000
Pr 0.000 0.758 0.830
Sm 0.000 0.257 0.835
Sm 0.500 0.258 0.332
Sm 0.000 0.757 0.165
Sm 0.500 0.758 0.668
Er 0.500 0.257 0.665
Er 0.500 0.757 0.335

Output
Magnetization = 0.000 μB/f.u.
Formation enthalpy at 0 K = 0.06 eV/atom
D(E_F) = 17.89 states/eV per cell

A plane-wave DFT calculation with GGA-PBE was carried out for crystalline La2Pr4SmEr2 at its relaxed geometry.

Lattice parameters (Å, degrees): 3.666 9.697 9.016 90.11 90.00 100.90
Fractional coordinates of all 9 atoms:
La 0.888 0.776 0.326
La 0.112 0.224 0.674
Pr 0.779 0.557 0.672
Pr 0.221 0.443 0.328
Pr 0.556 0.112 0.328
Pr 0.444 0.888 0.672
Sm 0.000 0.000 0.000
Er 0.332 0.663 0.999
Er 0.668 0.337 0.001

Output
Magnetization = 0.000 μB/f.u.
Formation enthalpy at 0 K = 0.02 eV/atom
D(E_F) = 15.86 states/eV per cell